The following is a DFT calculation (PBE) of a relaxed structure of TiBe17Ir.

Its energy of formation from the pure elements is -0.203 eV per atom. The total magnetization comes out at 0.00 μB per atom. The calculation puts the final energy at -4.4186 eV per atom.

It has space group R3m (No. 160, hexagonal axes), with a = 7.2824 Å, b = 7.2824 Å, c = 10.6504 Å, α = 90.00°, β = 90.00° and γ = 120.00°. The asymmetric unit holds Ti at (0.0000, 0.0000, 0.0000), Be at (0.0000, 0.0000, 0.2418), Be at (0.0000, 0.0000, 0.4418), Be at (0.0047, 0.3029, 0.3396), Be at (0.0073, 0.5036, 0.1900), Be at (0.0133, 0.5066, 0.8359), Be at (0.0139, 0.5069, 0.4949) and Ir at (0.0000, 0.0000, 0.6729).